VASP calculation (GGA-PBEsol) on crystalline KBe2TlH at its relaxed geometry.

Computed properties:
For the total magnetic moment, the calculation gives 0.00 μB per cell. The calculated total energy comes out at -1.44 eV/atom.

a = 4.181 Å, b = 5.539 Å, c = 5.539 Å
α = 90.00°, β = 90.00°, γ = 90.00°
Atoms (fractional coordinates):
Be 0.000 0.000 0.500
Be 0.000 0.500 0.000
Tl 0.500 0.500 0.500
K 0.000 0.000 0.000
H 0.500 0.000 0.000



VASP calculation (GGA-PBEsol) on crystalline La3BeH at its relaxed geometry.

Computed properties:
For the total magnetic moment, the calculation gives 0.00 μB per cell. The calculated total energy comes out at -4.59 eV/atom.

a = 4.874 Å, b = 4.874 Å, c = 4.874 Å
α = 90.00°, β = 90.00°, γ = 90.00°
Atoms (fractional coordinates):
Be 0.500 0.500 0.500
H 0.000 0.000 0.000
La 0.000 0.500 0.000
La 0.000 0.000 0.500
La 0.500 0.000 0.000



VASP calculation (GGA-PBEsol) on crystalline LaBeH2 at its relaxed geometry.

Computed properties:
For the total magnetic moment, the calculation gives 0.00 μB per cell. The calculated total energy comes out at -4.03 eV/atom.

a = 4.262 Å, b = 4.262 Å, c = 5.815 Å
α = 111.50°, β = 111.50°, γ = 90.00°
Atoms (fractional coordinates):
Be 0.500 0.500 0.000
Be 0.750 0.250 0.500
H 0.625 0.375 0.750
H 0.125 0.375 0.750
H 0.625 0.875 0.250
H 0.625 0.375 0.250
La 0.000 0.000 0.000
La 0.250 0.750 0.500



VASP calculation (GGA-PBEsol) on crystalline La2BeH at its relaxed geometry.

Computed properties:
For the total magnetic moment, the calculation gives 0.00 μB per cell. The calculated total energy comes out at -4.21 eV/atom.

a = 5.120 Å, b = 5.120 Å, c = 7.961 Å
α = 108.76°, β = 108.76°, γ = 90.00°
Atoms (fractional coordinates):
Be 0.250 0.750 0.500
Be 0.000 0.000 0.000
H 0.750 0.250 0.500
H 0.500 0.500 0.000
La 0.439 0.875 0.250
La 0.811 0.375 0.250
La 0.125 0.189 0.750
La 0.625 0.561 0.750



VASP calculation (GGA-PBEsol) on crystalline La2BeHPd at its relaxed geometry.

Computed properties:
For the total magnetic moment, the calculation gives 0.00 μB per cell. The calculated total energy comes out at -4.58 eV/atom.

a = 4.269 Å, b = 5.514 Å, c = 5.514 Å
α = 90.00°, β = 90.00°, γ = 90.00°
Atoms (fractional coordinates):
Be 0.500 0.000 0.000
H 0.500 0.500 0.500
Pd 0.000 0.000 0.000
La 0.000 0.000 0.500
La 0.000 0.500 0.000



VASP calculation (GGA-PBEsol) on crystalline LaBeHSe2 at its relaxed geometry.

Computed properties:
For the total magnetic moment, the calculation gives 0.01 μB per cell. The calculated total energy comes out at -3.87 eV/atom.

a = 4.184 Å, b = 5.659 Å, c = 5.659 Å
α = 90.00°, β = 90.00°, γ = 90.00°
Atoms (fractional coordinates):
Be 0.500 0.500 0.500
H 0.500 0.000 0.000
Se 0.000 0.000 0.500
Se 0.000 0.500 0.000
La 0.000 0.000 0.000



VASP calculation (GGA-PBEsol) on crystalline LiBeH3 at its relaxed geometry.

Computed properties:
For the total magnetic moment, the calculation gives 0.00 μB per cell. Its polymorph energy (0 for the lowest one) is 0.000 eV per atom.

a = 5.981 Å, b = 6.095 Å, c = 13.076 Å
α = 90.00°, β = 97.69°, γ = 90.00°
Atoms (fractional coordinates):
Li 0.765 0.117 0.407
Li 0.988 0.615 0.747
Li 0.988 0.885 0.247
Li 0.253 0.127 0.102
Li 0.747 0.873 0.898
Li 0.012 0.115 0.753
Li 0.012 0.385 0.253
Li 0.253 0.373 0.602
Li 0.235 0.883 0.593
Li 0.747 0.627 0.398
Li 0.765 0.383 0.907
Li 0.235 0.617 0.093
Be 0.771 0.403 0.587
Be 0.226 0.170 0.408
Be 0.774 0.830 0.592
Be 0.229 0.903 0.913
Be 0.226 0.330 0.908
Be 0.229 0.597 0.413
Be 0.774 0.670 0.092
Be 0.433 0.614 0.814
Be 0.433 0.886 0.314
Be 0.771 0.097 0.087
Be 0.567 0.386 0.186
Be 0.567 0.114 0.686
H 0.710 0.115 0.783
H 0.699 0.885 0.117
H 0.573 0.300 0.617
H 0.974 0.352 0.653
H 0.329 0.383 0.195
H 0.973 0.624 0.160
H 0.026 0.648 0.347
H 0.195 0.366 0.011
H 0.671 0.617 0.805
H 0.027 0.376 0.840
H 0.778 0.376 0.480
H 0.427 0.700 0.383
H 0.222 0.876 0.020
H 0.427 0.800 0.883
H 0.699 0.615 0.617
H 0.569 0.570 0.116
H 0.290 0.615 0.717
H 0.431 0.430 0.884
H 0.974 0.148 0.153
H 0.805 0.866 0.489
H 0.301 0.385 0.383
H 0.778 0.124 0.980
H 0.329 0.117 0.695
H 0.290 0.885 0.217
H 0.569 0.930 0.616
H 0.027 0.124 0.340
H 0.671 0.883 0.305
H 0.195 0.134 0.511
H 0.026 0.852 0.847
H 0.710 0.385 0.283
H 0.573 0.200 0.117
H 0.301 0.115 0.883
H 0.805 0.634 0.989
H 0.431 0.070 0.384
H 0.222 0.624 0.520
H 0.973 0.876 0.660



VASP calculation (GGA-PBEsol) on crystalline LiBeH3 at its relaxed geometry.

Computed properties:
For the total magnetic moment, the calculation gives 0.00 μB per cell. Its polymorph energy (0 for the lowest one) is 0.007 eV per atom.

a = 4.663 Å, b = 5.934 Å, c = 6.473 Å
α = 96.73°, β = 101.19°, γ = 105.43°
Atoms (fractional coordinates):
Be 0.091 0.208 0.874
Be 0.253 0.189 0.255
Be 0.909 0.792 0.126
Be 0.747 0.811 0.745
Li 0.791 0.330 0.197
Li 0.565 0.295 0.661
Li 0.435 0.705 0.339
Li 0.209 0.670 0.803
H 0.253 0.370 0.762
H 0.974 0.017 0.268
H 0.328 0.195 0.050
H 0.829 0.266 0.914
H 0.026 0.983 0.732
H 0.530 0.163 0.374
H 0.197 0.399 0.345
H 0.672 0.805 0.950
H 0.470 0.837 0.626
H 0.171 0.734 0.086
H 0.747 0.630 0.238
H 0.803 0.601 0.655



VASP calculation (GGA-PBEsol) on crystalline LiBeH3 at its relaxed geometry.

Computed properties:
For the total magnetic moment, the calculation gives 0.00 μB per cell. Its polymorph energy (0 for the lowest one) is 0.011 eV per atom.

a = 3.825 Å, b = 4.976 Å, c = 5.074 Å
α = 99.56°, β = 90.00°, γ = 112.61°
Atoms (fractional coordinates):
Be 0.654 0.553 0.148
Be 0.101 0.447 0.852
Li 0.808 0.752 0.634
Li 0.056 0.248 0.366
H 0.869 0.845 0.275
H 0.023 0.155 0.725
H 0.617 0.355 0.331
H 0.262 0.645 0.669
H 0.728 0.461 0.877
H 0.267 0.539 0.123



VASP calculation (GGA-PBEsol) on crystalline LiBeH3 at its relaxed geometry.

Computed properties:
For the total magnetic moment, the calculation gives 0.00 μB per cell. Its polymorph energy (0 for the lowest one) is 0.003 eV per atom.

a = 5.791 Å, b = 5.802 Å, c = 8.262 Å
α = 90.00°, β = 90.00°, γ = 119.94°
Atoms (fractional coordinates):
Be 0.835 0.244 0.250
Be 0.165 0.756 0.750
Be 0.591 0.756 0.250
Be 0.409 0.244 0.750
Be 0.079 0.000 0.250
Be 0.921 0.000 0.750
Li 0.171 0.342 0.500
Li 0.829 0.658 0.000
Li 0.829 0.658 0.500
Li 0.171 0.342 0.000
Li 0.500 0.000 0.500
Li 0.500 0.000 0.000
H 0.477 0.643 0.099
H 0.523 0.357 0.599
H 0.834 0.357 0.401
H 0.166 0.643 0.901
H 0.523 0.357 0.901
H 0.477 0.643 0.401
H 0.166 0.643 0.599
H 0.834 0.357 0.099
H 0.191 0.000 0.403
H 0.809 0.000 0.903
H 0.191 0.000 0.097
H 0.809 0.000 0.597
H 0.084 0.249 0.250
H 0.916 0.751 0.750
H 0.835 0.751 0.250
H 0.165 0.249 0.750
H 0.586 0.000 0.250
H 0.414 0.000 0.750



VASP calculation (GGA-PBEsol) on crystalline LiBeH3 at its relaxed geometry.

Computed properties:
For the total magnetic moment, the calculation gives 0.00 μB per cell. Its polymorph energy (0 for the lowest one) is 0.011 eV per atom.

a = 4.647 Å, b = 5.849 Å, c = 5.849 Å
α = 85.35°, β = 76.15°, γ = 76.15°
Atoms (fractional coordinates):
Be 0.240 0.371 0.198
Be 0.260 0.802 0.629
Be 0.760 0.629 0.802
Be 0.740 0.198 0.371
Li 0.250 0.901 0.099
Li 0.750 0.099 0.901
Li 0.250 0.291 0.709
Li 0.750 0.709 0.291
H 0.340 0.205 0.017
H 0.160 0.983 0.795
H 0.660 0.795 0.983
H 0.840 0.017 0.205
H 0.658 0.115 0.606
H 0.842 0.394 0.885
H 0.342 0.885 0.394
H 0.158 0.606 0.115
H 0.459 0.372 0.345
H 0.041 0.655 0.628
H 0.541 0.628 0.655
H 0.959 0.345 0.372



VASP calculation (GGA-PBEsol) on crystalline MgBe2H at its relaxed geometry.

Computed properties:
For the total magnetic moment, the calculation gives 0.00 μB per cell. The calculated total energy comes out at -2.21 eV/atom.

a = 3.994 Å, b = 3.994 Å, c = 3.994 Å
α = 60.00°, β = 60.00°, γ = 60.00°
Atoms (fractional coordinates):
Be 0.250 0.250 0.250
Be 0.750 0.750 0.750
Mg 0.500 0.500 0.500
H 0.000 0.000 0.000



VASP calculation (GGA-PBEsol) on crystalline MgBeH2 at its relaxed geometry.

Computed properties:
For the total magnetic moment, the calculation gives 0.00 μB per cell. The calculated total energy comes out at -2.47 eV/atom.

a = 3.670 Å, b = 3.670 Å, c = 3.670 Å
α = 60.00°, β = 60.00°, γ = 60.00°
Atoms (fractional coordinates):
Be 0.000 0.000 0.000
Mg 0.500 0.500 0.500
H 0.250 0.250 0.250
H 0.750 0.750 0.750



VASP calculation (GGA-PBEsol) on crystalline BeMoH3 at its relaxed geometry.

Computed properties:
For the total magnetic moment, the calculation gives 0.00 μB per cell. The calculated total energy comes out at -4.68 eV/atom.

a = 3.373 Å, b = 3.373 Å, c = 3.373 Å
α = 90.00°, β = 90.00°, γ = 90.00°
Atoms (fractional coordinates):
Be 0.500 0.500 0.500
Mo 0.000 0.000 0.000
H 0.000 0.500 0.000
H 0.000 0.000 0.500
H 0.500 0.000 0.000



VASP calculation (GGA-PBEsol) on crystalline BeNb2MoH at its relaxed geometry.

Computed properties:
For the total magnetic moment, the calculation gives 0.00 μB per cell. The calculated total energy comes out at -8.10 eV/atom.

a = 3.750 Å, b = 4.118 Å, c = 4.118 Å
α = 90.00°, β = 90.00°, γ = 90.00°
Atoms (fractional coordinates):
Be 0.500 0.500 0.500
Mo 0.500 0.000 0.000
Nb 0.000 0.000 0.500
Nb 0.000 0.500 0.000
H 0.000 0.000 0.000



VASP calculation (GGA-PBEsol) on crystalline BeHN at its relaxed geometry.

Computed properties:
For the total magnetic moment, the calculation gives 0.00 μB per cell. The calculated total energy comes out at -6.14 eV/atom.

a = 3.063 Å, b = 3.063 Å, c = 4.579 Å
α = 90.00°, β = 90.00°, γ = 90.00°
Atoms (fractional coordinates):
Be 0.000 0.000 0.000
Be 0.500 0.500 0.000
N 0.000 0.500 0.822
N 0.500 0.000 0.178
H 0.500 0.000 0.401
H 0.000 0.500 0.599



VASP calculation (GGA-PBEsol) on crystalline BeHN2 at its relaxed geometry.

Computed properties:
For the total magnetic moment, the calculation gives 0.00 μB per cell. Its polymorph energy (0 for the lowest one) is 0.091 eV per atom.

a = 3.104 Å, b = 3.104 Å, c = 5.337 Å
α = 106.91°, β = 106.91°, γ = 90.00°
Atoms (fractional coordinates):
Be 0.250 0.750 0.500
Be 0.000 0.000 0.000
H 0.750 0.250 0.500
H 0.500 0.500 0.000
N 0.841 0.375 0.250
N 0.409 0.875 0.250
N 0.625 0.591 0.750
N 0.125 0.159 0.750



VASP calculation (GGA-PBEsol) on crystalline BeHN2 at its relaxed geometry.

Computed properties:
For the total magnetic moment, the calculation gives 0.00 μB per cell. Its polymorph energy (0 for the lowest one) is 0.000 eV per atom.

a = 2.739 Å, b = 2.739 Å, c = 4.481 Å
α = 72.20°, β = 72.20°, γ = 60.00°
Atoms (fractional coordinates):
Be 0.500 0.500 0.500
N 0.902 0.902 0.295
N 0.098 0.098 0.705
H 0.000 0.000 0.000



VASP calculation (GGA-PBEsol) on crystalline BeNiH2N at its relaxed geometry.

Computed properties:
For the total magnetic moment, the calculation gives 0.01 μB per cell. The calculated total energy comes out at -4.55 eV/atom.

a = 2.694 Å, b = 2.694 Å, c = 5.309 Å
α = 90.00°, β = 90.00°, γ = 90.00°
Atoms (fractional coordinates):
Ni 0.000 0.000 0.500
Be 0.000 0.000 0.000
H 0.000 0.500 0.000
H 0.500 0.000 0.000
N 0.500 0.500 0.500



VASP calculation (GGA-PBEsol) on crystalline BeHSeN2 at its relaxed geometry.

Computed properties:
For the total magnetic moment, the calculation gives 0.00 μB per cell. The calculated total energy comes out at -4.35 eV/atom.

a = 3.095 Å, b = 3.095 Å, c = 7.234 Å
α = 90.00°, β = 90.00°, γ = 90.00°
Atoms (fractional coordinates):
Be 0.000 0.000 0.000
N 0.000 0.500 0.000
N 0.500 0.000 0.000
Se 0.000 0.000 0.500
H 0.500 0.500 0.500